Material: AlZn2Si
Method: DFT, GGA-PBE
State: optimized geometry

a = 2.739 Å, b = 2.739 Å, c = 10.280 Å
α = 90.00°, β = 90.00°, γ = 123.36°
Sites, in units of the cell vectors:
Al (0.000, 0.000, 0.000)
Zn (0.500, 0.500, 0.252)
Zn (0.500, 0.500, 0.748)
Si (0.000, 0.000, 0.500)

symmetry	Cmmm (65)

---

Material: Al2ZnSi
Method: DFT, GGA-PBE
State: optimized geometry

a = 5.791 Å, b = 5.791 Å, c = 5.791 Å
α = 40.18°, β = 40.18°, γ = 40.18°
Sites, in units of the cell vectors:
Al (0.000, 0.000, 0.000)
Al (0.178, 0.178, 0.178)
Zn (0.424, 0.424, 0.424)
Si (0.586, 0.586, 0.586)

symmetry	R3m (160)

---

Material: AlZn2Si
Method: DFT, GGA-PBE
State: optimized geometry

a = 9.574 Å, b = 9.574 Å, c = 9.574 Å
α = 156.99°, β = 156.99°, γ = 32.76°
Sites, in units of the cell vectors:
Al (0.000, 0.000, 0.000)
Al (0.750, 0.250, 0.500)
Zn (0.126, 0.625, 0.001)
Zn (0.375, 0.376, 0.501)
Zn (0.624, 0.125, 0.999)
Zn (0.875, 0.874, 0.499)
Si (0.250, 0.750, 0.500)
Si (0.500, 0.500, 0.000)

symmetry	I-42d (122)

---

Material: Al2ZnSi
Method: DFT, GGA-PBE
State: optimized geometry

a = 4.765 Å, b = 4.765 Å, c = 2.905 Å
α = 92.04°, β = 92.04°, γ = 107.67°
Sites, in units of the cell vectors:
Al (0.000, 0.500, 0.000)
Al (0.500, 0.000, 0.000)
Zn (0.000, 0.000, 0.500)
Si (0.500, 0.500, 0.500)

symmetry	C2/m (12)

---

Material: AlZn2Si
Method: DFT, GGA-PBE
State: optimized geometry

a = 2.871 Å, b = 2.871 Å, c = 7.512 Å
α = 90.00°, β = 90.00°, γ = 90.00°
Sites, in units of the cell vectors:
Al (0.000, 0.000, 0.000)
Zn (0.000, 0.000, 0.494)
Zn (0.500, 0.500, 0.745)
Si (0.500, 0.500, 0.246)

symmetry	P4mm (99)

---

Material: AlZn2Si
Method: DFT, GGA-PBE
State: optimized geometry

a = 2.758 Å, b = 2.758 Å, c = 10.032 Å
α = 90.00°, β = 90.00°, γ = 123.40°
Sites, in units of the cell vectors:
Al (0.000, 0.000, 0.000)
Zn (0.000, 0.000, 0.503)
Zn (0.500, 0.500, 0.256)
Si (0.500, 0.500, 0.751)

symmetry	Cmm2 (35)

---

Material: AlZn2Si
Method: DFT, GGA-PBE
State: optimized geometry

a = 5.095 Å, b = 5.095 Å, c = 5.095 Å
α = 136.16°, β = 136.16°, γ = 63.73°
Sites, in units of the cell vectors:
Al (0.000, 0.000, 0.000)
Zn (0.250, 0.750, 0.500)
Zn (0.750, 0.250, 0.500)
Si (0.500, 0.500, 0.000)

symmetry	I4/mmm (139)

---

Material: Al2ZnSi
Method: DFT, GGA-PBE
State: optimized geometry

a = 8.211 Å, b = 8.211 Å, c = 8.211 Å
α = 21.38°, β = 21.38°, γ = 21.38°
Sites, in units of the cell vectors:
Al (0.249, 0.249, 0.249)
Al (0.751, 0.751, 0.751)
Zn (0.000, 0.000, 0.000)
Si (0.500, 0.500, 0.500)

symmetry	R-3m (166)

---

Material: Al2ZnSi
Method: DFT, GGA-PBE
State: optimized geometry

a = 4.789 Å, b = 4.789 Å, c = 4.789 Å
α = 129.84°, β = 129.84°, γ = 73.66°
Sites, in units of the cell vectors:
Al (0.250, 0.750, 0.500)
Al (0.750, 0.250, 0.500)
Zn (0.000, 0.000, 0.000)
Si (0.500, 0.500, 0.000)

symmetry	I4/mmm (139)

---

Material: AlZn3Si
Method: DFT, GGA-PBE
State: optimized geometry

a = 4.746 Å, b = 4.746 Å, c = 4.746 Å
α = 90.00°, β = 90.00°, γ = 90.00°
Sites, in units of the cell vectors:
Al (0.000, 0.000, 0.000)
Zn (0.000, 0.500, 0.500)
Zn (0.500, 0.000, 0.500)
Zn (0.500, 0.500, 0.000)
Si (0.500, 0.500, 0.500)

E above lowest polymorph	0.000	eV/f.u.
symmetry	Pm-3m (221)

---

Material: Al2ZnSi
Method: DFT, GGA-PBE
State: optimized geometry

a = 4.707 Å, b = 4.707 Å, c = 2.894 Å
α = 90.00°, β = 90.00°, γ = 90.00°
Sites, in units of the cell vectors:
Al (0.000, 0.500, 0.000)
Al (0.500, 0.000, 0.000)
Zn (0.000, 0.000, 0.500)
Si (0.500, 0.500, 0.500)

symmetry	P4/mmm (123)

---

Material: Al2ZnSi
Method: DFT, GGA-PBE
State: optimized geometry

a = 4.799 Å, b = 4.799 Å, c = 4.877 Å
α = 100.18°, β = 100.18°, γ = 34.85°
Sites, in units of the cell vectors:
Al (0.000, 0.000, 0.000)
Al (0.246, 0.246, 0.720)
Zn (0.496, 0.496, 0.494)
Si (0.747, 0.747, 0.222)

symmetry	Cm (8)

---

Summary of uncorrected formation energy in eV/atom
0.21; 0.16; 0.19; 0.11; 0.16; 0.19; 0.17; 0.14; 0.15; 0.53; 0.16; 0.12
(order as listed above)
Summary of total energy in eV/cell
-10.87; -13.53; -21.89; -13.75; -11.08; -10.94; -11.05; -13.63; -13.60; -10.36; -13.54; -13.70
(order as listed above)